No. 1
# HfZrTeN2, optimized geometry, DFT PBE-GGA
# **Magnetic moment**: 0.0 μB/f.u.
# **Raw formation energy**: 0.10 eV per atom
# **Energy relative to the lowest polymorph listed for this composition**: 0.000 eV per atom
# **Raw total energy**: -7.55 eV per atom
# **SG**: No. 123
# **Volume**: 19.557 Å³/atom
data_HfZrTeN2
_cell_length_a 4.170
_cell_length_b 4.170
_cell_length_c 5.623
_cell_angle_alpha 90.00
_cell_angle_beta 90.00
_cell_angle_gamma 90.00
_space_group_name_H-M_alt 'P 1'
_space_group_IT_number 1
loop_
_space_group_symop_operation_xyz
'x,y,z'
loop_
_atom_site_label
_atom_site_type_symbol
_atom_site_fract_x
_atom_site_fract_y
_atom_site_fract_z
_atom_site_occupancy
Hf1 Hf 0.000 0.000 0.000 1
Zr1 Zr 0.500 0.500 0.500 1
Te1 Te 0.000 0.000 0.500 1
N1 N 0.000 0.500 0.000 1
N2 N 0.500 0.000 0.000 1

***

No. 2
# Sr2AcP2N6, optimized geometry, DFT PBE-GGA
# **Magnetic moment**: 0.0 μB/f.u.
# **Raw formation energy**: -0.78 eV per atom
# **Raw total energy**: -6.98 eV per atom
# **SG**: No. 166
# **Volume**: 17.699 Å³/atom
data_Sr2AcP2N6
_cell_length_a 7.450
_cell_length_b 7.450
_cell_length_c 7.450
_cell_angle_alpha 45.93
_cell_angle_beta 45.93
_cell_angle_gamma 45.93
_space_group_name_H-M_alt 'P 1'
_space_group_IT_number 1
loop_
_space_group_symop_operation_xyz
'x,y,z'
loop_
_atom_site_label
_atom_site_type_symbol
_atom_site_fract_x
_atom_site_fract_y
_atom_site_fract_z
_atom_site_occupancy
Sr1 Sr 0.196 0.196 0.196 1
Sr2 Sr 0.804 0.804 0.804 1
Ac1 Ac 0.000 0.000 0.000 1
P1 P 0.426 0.426 0.426 1
P2 P 0.574 0.574 0.574 1
N1 N 0.260 0.730 0.730 1
N2 N 0.270 0.270 0.740 1
N3 N 0.270 0.740 0.270 1
N4 N 0.730 0.260 0.730 1
N5 N 0.730 0.730 0.260 1
N6 N 0.740 0.270 0.270 1

***

No. 3
# Ca3W, optimized geometry, DFT PBE-GGA
# **Magnetic moment**: 0.0 μB/f.u.
# **ΔH_f (0 K)**: 0.810 eV per atom
# **Energy relative to the lowest polymorph listed for this composition**: 0.418 eV per atom
# **Raw total energy**: -3.93 eV per atom
# **SG**: No. 187
# **Volume**: 28.409 Å³/atom
data_Ca3W
_cell_length_a 3.366
_cell_length_b 3.366
_cell_length_c 11.584
_cell_angle_alpha 90.00
_cell_angle_beta 90.00
_cell_angle_gamma 120.00
_space_group_name_H-M_alt 'P 1'
_space_group_IT_number 1
loop_
_space_group_symop_operation_xyz
'x,y,z'
loop_
_atom_site_label
_atom_site_type_symbol
_atom_site_fract_x
_atom_site_fract_y
_atom_site_fract_z
_atom_site_occupancy
Ca1 Ca 0.000 0.000 0.000 1
Ca2 Ca 0.333 0.667 0.288 1
Ca3 Ca 0.333 0.667 0.712 1
W1 W 0.000 0.000 0.500 1

***

No. 4
# Tb3DyRh4, optimized geometry, DFT PBE-GGA
# **Magnetic moment**: 0.0 μB/f.u.
# **ΔH_f (0 K)**: -0.851 eV per atom
# **Raw total energy**: -6.84 eV per atom
# **SG**: No. 123
# **Volume**: 20.301 Å³/atom
data_Tb3DyRh4
_cell_length_a 4.897
_cell_length_b 4.897
_cell_length_c 6.772
_cell_angle_alpha 90.00
_cell_angle_beta 90.00
_cell_angle_gamma 90.00
_space_group_name_H-M_alt 'P 1'
_space_group_IT_number 1
loop_
_space_group_symop_operation_xyz
'x,y,z'
loop_
_atom_site_label
_atom_site_type_symbol
_atom_site_fract_x
_atom_site_fract_y
_atom_site_fract_z
_atom_site_occupancy
Tb1 Tb 0.000 0.000 0.000 1
Tb2 Tb 0.000 0.000 0.500 1
Tb3 Tb 0.500 0.500 0.000 1
Dy1 Dy 0.500 0.500 0.500 1
Rh1 Rh 0.000 0.500 0.251 1
Rh2 Rh 0.000 0.500 0.749 1
Rh3 Rh 0.500 0.000 0.251 1
Rh4 Rh 0.500 0.000 0.749 1